First-principles (PBE with a Hubbard U) data for AcMnPO6 after structural relaxation, as listed in the Alexandria database.

The structure belongs to space group P312 (No. 149); the cell edges are 4.9108, 4.9108 and 5.3406 Å and the angles 90.00°, 90.00° and 120.00°. The asymmetric unit holds Ac at (0.0000, 0.0000, 0.0000), Mn at (0.3333, 0.6667, 0.5000), P at (0.6667, 0.3333, 0.5000) and O at (0.3991, 0.0305, 0.6880).

The total energy comes out at -7.48 eV/atom.